Entry from Alexandria via LeMat-Bulk: ScPPb2 after structural relaxation (PBE).

```
ScPPb2
1.0
-7.017 6.739 -0.944
-4.050 -5.225 -7.199
-6.943 -0.475 -2.385
P Pb Sc
2 4 2
Direct
0.250 0.750 0.500
0.500 0.500 0.000
0.875 0.763 0.750
0.237 0.625 0.250
0.513 0.125 0.250
0.375 0.487 0.750
0.000 0.000 0.000
0.750 0.250 0.500
```

Computed properties:
Crystal system ... tetragonal
Total moment ... 0.000 Bohr magnetons per cell
Symmetry ... I-42d
Final energy ... -4.8248 eV per atom
ΔH_f (0 K) ... -0.04 eV/atom


Entry from Alexandria via LeMat-Bulk: ScP2Pb2 after structural relaxation (PBE).

```
ScP2Pb2
1.0
-4.364 -5.481 -1.476
1.634 -2.996 6.295
-3.462 2.229 1.960
Sc P Pb
2 4 4
Direct
0.000 0.000 0.000
0.500 0.500 0.000
0.837 0.663 0.000
0.163 0.337 0.000
0.337 0.837 0.000
0.663 0.163 0.000
0.338 0.162 0.500
0.162 0.662 0.500
0.662 0.838 0.500
0.838 0.338 0.500
```

Computed properties:
Crystal system ... tetragonal
Total moment ... 0.000 Bohr magnetons per cell
Symmetry ... P4/mbm
Final energy ... -5.1249 eV per atom
ΔH_f (0 K) ... -0.21 eV/atom


Entry from Alexandria via LeMat-Bulk: ScP2Pb after structural relaxation (PBE).

```
ScP2Pb
1.0
5.154 -0.018 -0.015
0.622 5.116 0.015
-2.197 -3.331 3.261
P Sc Pb
2 1 1
Direct
0.024 0.024 0.000
0.476 0.476 0.000
0.250 0.750 0.500
0.750 0.250 0.500
```

Computed properties:
Crystal system ... orthorhombic
Total moment ... 0.000 Bohr magnetons per cell
Symmetry ... Immm
Final energy ... -5.3877 eV per atom
ΔH_f (0 K) ... -0.17 eV/atom